[1]
## CsHg2Au2 (GGA-PBE)

Data for a relaxed structure of CsHg2Au2.

Output
**Excess energy over the best structure of this formula in the dataset**: 57.8 meV/atom

Cell and atoms, written as CIF:
```
data_CsHg2Au2
_symmetry_space_group_name_H-M 'I 4/m m m'
_symmetry_Int_Tables_number 139
_symmetry_space_group_name_Hall '-I 4 2'
_cell_length_a 4.888
_cell_length_b 4.888
_cell_length_c 11.880
_cell_angle_alpha 90.00
_cell_angle_beta 90.00
_cell_angle_gamma 90.00
loop_
_atom_site_label
_atom_site_fract_x
_atom_site_fract_y
_atom_site_fract_z
Cs1 0.000 0.000 0.000
Hg1 0.000 0.000 0.376
Au1 0.000 0.500 0.250
```

[2]
## CsHgAu (GGA-PBE)

Data for a relaxed structure of CsHgAu.

Output
**Excess energy over the best structure of this formula in the dataset**: 65.3 meV/atom

Cell and atoms, written as CIF:
```
data_CsHgAu
_symmetry_space_group_name_H-M 'F -4 3 m'
_symmetry_Int_Tables_number 216
_symmetry_space_group_name_Hall 'F -4 2 3'
_cell_length_a 7.996
_cell_length_b 7.996
_cell_length_c 7.996
_cell_angle_alpha 90.00
_cell_angle_beta 90.00
_cell_angle_gamma 90.00
loop_
_atom_site_label
_atom_site_fract_x
_atom_site_fract_y
_atom_site_fract_z
Cs1 0.000 0.000 0.000
Hg1 0.000 0.000 0.500
Au1 0.250 0.250 0.250
```

[3]
## CsHgAu (GGA-PBE)

Data for a relaxed structure of CsHgAu.

Output
**Excess energy over the best structure of this formula in the dataset**: 0.0 meV/atom

Cell and atoms, written as CIF:
```
data_CsHgAu
_symmetry_space_group_name_H-M 'P 3 m 1'
_symmetry_Int_Tables_number 156
_symmetry_space_group_name_Hall 'P 3 -2"'
_cell_length_a 5.0223
_cell_length_b 5.0223
_cell_length_c 5.0628
_cell_angle_alpha 90.00
_cell_angle_beta 90.00
_cell_angle_gamma 120.00
loop_
_atom_site_label
_atom_site_fract_x
_atom_site_fract_y
_atom_site_fract_z
Cs1 0.0000 0.0000 0.0000
Hg1 0.6667 0.3333 0.4991
Au1 0.3333 0.6667 0.5015
```